No. 1
## TbNdDy2Y6 (PBE)

Data for an optimized crystal structure of TbNdDy2Y6.

a = 9.7104 Å, b = 8.7836 Å, c = 8.7836 Å
α = 117.31°, β = 94.63°, γ = 94.63°
Closest atoms and distances in Å follow each position.
Sites, in units of the cell vectors:
Y 0.0562 0.1192 0.7510  7 Y 3.42-3.81, 1 Dy 3.47, 1 Tb 3.64, 1 Nd 3.83
Y 0.8179 0.4267 0.9775  3 Y 3.25-3.62, 2 Dy 3.41-3.64, 1 Nd 3.50, 1 Tb 3.55
Y 0.5562 0.7510 0.1192  7 Y 3.42-3.81, 1 Dy 3.47, 1 Tb 3.64, 1 Nd 3.83
Y 0.3809 0.5051 0.2945  4 Y 3.25-3.58, 3 Dy 3.28-3.45, 2 Nd 3.42-3.56
Y 0.4438 0.2490 0.8808  7 Y 3.42-3.81, 1 Dy 3.47, 1 Tb 3.64, 1 Nd 3.83
Y 0.9438 0.8808 0.2490  7 Y 3.42-3.81, 1 Dy 3.47, 1 Tb 3.64, 1 Nd 3.83
Y 0.6191 0.4949 0.7055  4 Y 3.25-3.58, 3 Dy 3.28-3.45, 2 Nd 3.42-3.56
Y 0.1191 0.7055 0.4949  4 Y 3.25-3.58, 3 Dy 3.28-3.45, 2 Nd 3.42-3.56
Y 0.8809 0.2945 0.5051  4 Y 3.25-3.58, 3 Dy 3.28-3.45, 2 Nd 3.42-3.56
Y 0.6821 0.0225 0.5733  3 Y 3.25-3.62, 2 Dy 3.41-3.64, 1 Nd 3.50, 1 Tb 3.55
Y 0.1821 0.5733 0.0225  3 Y 3.25-3.62, 2 Dy 3.41-3.64, 1 Nd 3.50, 1 Tb 3.55
Y 0.3179 0.9775 0.4267  3 Y 3.25-3.62, 2 Dy 3.41-3.64, 1 Nd 3.50, 1 Tb 3.55
Nd 0.7500 0.5937 0.4063  8 Y 3.42-3.83, 2 Dy 3.56
Nd 0.2500 0.4063 0.5937  8 Y 3.42-3.83, 2 Dy 3.56
Dy 0.0456 0.2925 0.1923  6 Y 3.28-3.64, 2 Tb 3.37-3.38, 1 Nd 3.56
Dy 0.4544 0.8077 0.7075  6 Y 3.28-3.64, 2 Tb 3.37-3.38, 1 Nd 3.56
Dy 0.9544 0.7075 0.8077  6 Y 3.28-3.64, 2 Tb 3.37-3.38, 1 Nd 3.56
Dy 0.5456 0.1923 0.2925  6 Y 3.28-3.64, 2 Tb 3.37-3.38, 1 Nd 3.56
Tb 0.7500 0.0235 0.9765  4 Dy 3.37-3.38, 4 Y 3.55-3.64
Tb 0.2500 0.9765 0.0235  4 Dy 3.37-3.38, 4 Y 3.55-3.64

**Density of states at the Fermi level**: 1.57 states/eV/atom
**Crystal system**: monoclinic
**DFT formation energy**: 121 meV per atom
**Space-group type**: C2/c
**E_tot**: -5.6180 eV/atom

No. 2
## La3Sm2NbN6 (PBE)

Data for an optimized crystal structure of La3Sm2NbN6.

a = 6.1368 Å, b = 6.1368 Å, c = 6.2076 Å
α = 99.45°, β = 99.45°, γ = 119.94°
Closest atoms and distances in Å follow each position.
Sites, in units of the cell vectors:
N 0.3733 0.0733 0.2188  1 Nb 2.25, 2 Sm 2.51
N 0.6267 0.9267 0.7812  1 Nb 2.25, 2 Sm 2.51
N 0.9267 0.6267 0.7812  1 Nb 2.25, 2 Sm 2.51
N 0.2277 0.2277 0.7734  1 Nb 2.29, 2 La 2.52, 2 Sm 2.53
N 0.0733 0.3733 0.2188  1 Nb 2.25, 2 Sm 2.51
N 0.7723 0.7723 0.2266  1 Nb 2.29, 2 La 2.52, 2 Sm 2.53
Sm 0.6669 0.3331 0.0000  6 N 2.51-2.53
Sm 0.3331 0.6669 0.0000  6 N 2.51-2.53
La 0.5000 0.5000 0.5000  6 N 2.56-2.75
La 0.8346 0.1654 0.5000  6 N 2.52-2.80
La 0.1654 0.8346 0.5000  6 N 2.52-2.80
Nb 0.0000 0.0000 0.0000  6 N 2.25-2.29

**Density of states at the Fermi level**: 0.21 states/eV/atom
**Crystal system**: monoclinic
**Formation energy without anion corrections**: -15.8 eV/f.u.
**Space-group type**: C2/m
**E_tot**: -8.3367 eV/atom

No. 3
## NiTeP2Pt (PBE)

Data for an optimized crystal structure of NiTeP2Pt.

a = 4.0976 Å, b = 3.9266 Å, c = 6.1353 Å
α = 90.00°, β = 90.00°, γ = 90.00°
Closest atoms and distances in Å follow each position.
Sites, in units of the cell vectors:
Pt 0.5000 0.5000 0.3108  4 P 2.41-2.42
Te 0.0000 0.5000 0.6156  2 Ni 2.66, 2 Pt 2.77, 1 P 2.97
P 0.5000 0.0000 0.0823  2 Ni 2.31, 2 Pt 2.41
P 0.0000 0.5000 0.0996  2 Ni 2.29, 2 Pt 2.42
Ni 0.0000 0.0000 0.9079  4 P 2.29-2.31

**Density of states at the Fermi level**: 0.50 states/eV/atom
**Crystal system**: orthorhombic
**Formation energy without anion corrections**: -1.0 eV/f.u.
**Space-group type**: Pmm2
**ΔE to the lowest computed polymorph**: 103 meV per atom
**E_tot**: -5.3537 eV/atom

No. 4
## Ba5Sr6Ca2 (PBE)

Data for an optimized crystal structure of Ba5Sr6Ca2.

a = 4.3042 Å, b = 13.9598 Å, c = 24.9043 Å
α = 90.00°, β = 90.00°, γ = 90.00°
Closest atoms and distances in Å follow each position.
Sites, in units of the cell vectors:
Ba 0.5000 0.8027 0.0780  4 Ba 4.30-4.69, 6 Sr 4.38-4.47, 2 Ca 4.44
Ba 0.5000 0.5000 0.0000  6 Sr 4.15-4.31, 4 Ba 4.30-4.65
Ba 0.5000 0.5437 0.2906  4 Ca 4.14-4.34, 5 Sr 4.19-4.23, 2 Ba 4.30
Ba 0.5000 0.9563 0.7906  4 Ca 4.14-4.34, 5 Sr 4.19-4.23, 2 Ba 4.30
Ba 0.5000 0.0000 0.5000  6 Sr 4.15-4.31, 4 Ba 4.30-4.65
Ba 0.5000 0.6973 0.5780  4 Ba 4.30-4.69, 6 Sr 4.38-4.47, 2 Ca 4.44
Ba 0.5000 0.0437 0.2094  4 Ca 4.14-4.34, 5 Sr 4.19-4.23, 2 Ba 4.30
Ba 0.5000 0.4563 0.7094  4 Ca 4.14-4.34, 5 Sr 4.19-4.23, 2 Ba 4.30
Ba 0.5000 0.3027 0.4220  4 Ba 4.30-4.69, 6 Sr 4.38-4.47, 2 Ca 4.44
Ba 0.5000 0.1973 0.9220  4 Ba 4.30-4.69, 6 Sr 4.38-4.47, 2 Ca 4.44
Sr 0.5000 0.6910 0.8721  2 Ca 4.06, 6 Sr 4.12-4.30, 2 Ba 4.15-4.22
Sr 0.0000 0.0820 0.0646  5 Sr 3.95-4.30, 2 Ba 4.23
Sr 0.0000 0.4417 0.8537  1 Ca 3.95, 4 Sr 4.12-4.30, 6 Ba 4.19-4.38
Sr 0.5000 0.3090 0.1279  2 Ca 4.06, 6 Sr 4.12-4.30, 2 Ba 4.15-4.22
Sr 0.5000 0.1910 0.6279  2 Ca 4.06, 6 Sr 4.12-4.30, 2 Ba 4.15-4.22
Sr 0.0000 0.9417 0.6463  1 Ca 3.95, 4 Sr 4.12-4.30, 6 Ba 4.19-4.38
Sr 0.5000 0.8090 0.3721  2 Ca 4.06, 6 Sr 4.12-4.30, 2 Ba 4.15-4.22
Sr 0.0000 0.0583 0.3537  1 Ca 3.95, 4 Sr 4.12-4.30, 6 Ba 4.19-4.38
Sr 0.0000 0.9180 0.9354  5 Sr 3.95-4.30, 2 Ba 4.23
Sr 0.0000 0.5583 0.1463  1 Ca 3.95, 4 Sr 4.12-4.30, 6 Ba 4.19-4.38
Sr 0.0000 0.5820 0.4354  5 Sr 3.95-4.30, 2 Ba 4.23
Sr 0.0000 0.4180 0.5646  5 Sr 3.95-4.30, 2 Ba 4.23
Ca 0.0000 0.2059 0.7660  3 Sr 3.95-4.06, 4 Ba 4.14-4.34, 2 Ca 4.30
Ca 0.0000 0.2941 0.2660  3 Sr 3.95-4.06, 4 Ba 4.14-4.34, 2 Ca 4.30
Ca 0.0000 0.7941 0.2340  3 Sr 3.95-4.06, 4 Ba 4.14-4.34, 2 Ca 4.30
Ca 0.0000 0.7059 0.7340  3 Sr 3.95-4.06, 4 Ba 4.14-4.34, 2 Ca 4.30

**Density of states at the Fermi level**: 1.39 states/eV/atom
**Crystal system**: orthorhombic
**DFT formation energy**: 69 meV per atom
**Space-group type**: Pbam
**E_tot**: -1.7546 eV/atom

No. 5
## Sc12Ni6Ag (PBE)

Data for an optimized crystal structure of Sc12Ni6Ag.

a = 7.8078 Å, b = 7.8078 Å, c = 7.8078 Å
α = 109.47°, β = 109.47°, γ = 109.47°
Closest atoms and distances in Å follow each position.
Sites, in units of the cell vectors:
Sc 0.8138 0.7036 0.5173  1 Ni 2.46
Sc 0.4827 0.1862 0.2964  1 Ni 2.46
Sc 0.7036 0.8898 0.1862  1 Ni 2.46
Sc 0.1862 0.2964 0.4827  1 Ni 2.46
Sc 0.1102 0.8138 0.2964  1 Ni 2.46
Sc 0.2964 0.1102 0.8138  1 Ni 2.46
Sc 0.7036 0.5173 0.8138  1 Ni 2.46
Sc 0.2964 0.4827 0.1862  1 Ni 2.46
Sc 0.1862 0.7036 0.8898  1 Ni 2.46
Sc 0.5173 0.8138 0.7036  1 Ni 2.46
Sc 0.8898 0.1862 0.7036  1 Ni 2.46
Sc 0.8138 0.2964 0.1102  1 Ni 2.46
Ni 0.5000 0.8679 0.3679  1 Ni 2.38, 2 Sc 2.46
Ni 0.6321 0.5000 0.1321  1 Ni 2.38, 2 Sc 2.46
Ni 0.8679 0.3679 0.5000  1 Ni 2.38, 2 Sc 2.46
Ni 0.1321 0.6321 0.5000  1 Ni 2.38, 2 Sc 2.46
Ni 0.3679 0.5000 0.8679  1 Ni 2.38, 2 Sc 2.46
Ni 0.5000 0.1321 0.6321  1 Ni 2.38, 2 Sc 2.46
Ag 0.0000 0.0000 0.0000  12 Sc 3.16

**Density of states at the Fermi level**: 1.72 states/eV/atom
**Crystal system**: cubic
**DFT formation energy**: -336 meV per atom
**Space-group type**: Im-3
**E_tot**: -6.3104 eV/atom

No. 6
## K3LiTa (PBE)

Data for an optimized crystal structure of K3LiTa.

a = 6.7906 Å, b = 6.7906 Å, c = 6.7906 Å
α = 90.00°, β = 90.00°, γ = 90.00°
Closest atoms and distances in Å follow each position.
Sites, in units of the cell vectors:
K 0.5000 0.0000 0.0000  2 Ta 3.40
K 0.0000 0.0000 0.5000  2 Ta 3.40
K 0.0000 0.5000 0.0000  2 Ta 3.40
Ta 0.0000 0.0000 0.0000  6 K 3.40
Li 0.5000 0.5000 0.5000  12 K 4.80

**Density of states at the Fermi level**: 0.14 states/eV/atom
**Crystal system**: cubic
**DFT formation energy**: 1353 meV per atom
**Space-group type**: Pm-3m
**ΔE to the lowest computed polymorph**: 0 meV per atom
**E_tot**: -2.0584 eV/atom

No. 7
## BaSeF2 (PBE)

Data for an optimized crystal structure of BaSeF2.

a = 4.7041 Å, b = 4.7041 Å, c = 8.8456 Å
α = 74.58°, β = 74.58°, γ = 90.00°
Closest atoms and distances in Å follow each position.
Sites, in units of the cell vectors:
F 0.5906 0.1250 0.2500  2 Se 2.57, 2 Ba 2.71
F 0.8750 0.8406 0.7500  2 Se 2.57, 2 Ba 2.71
F 0.1594 0.6250 0.2500  2 Se 2.57, 2 Ba 2.71
F 0.3750 0.4094 0.7500  2 Se 2.57, 2 Ba 2.71
Se 0.2500 0.7500 0.5000  4 F 2.57
Se 0.5000 0.5000 0.0000  4 F 2.57
Ba 0.7500 0.2500 0.5000  4 F 2.71
Ba 0.0000 0.0000 0.0000  4 F 2.71

**Density of states at the Fermi level**: 0.25 states/eV/atom
**Crystal system**: tetragonal
**Formation energy without anion corrections**: -8.2 eV/f.u.
**Space-group type**: I-42d
**ΔE to the lowest computed polymorph**: 192 meV per atom
**E_tot**: -4.3409 eV/atom

No. 8
## Ce3PrTm2As6 (PBE)

Data for an optimized crystal structure of Ce3PrTm2As6.

a = 7.2503 Å, b = 7.2503 Å, c = 7.2350 Å
α = 99.63°, β = 99.63°, γ = 120.01°
Closest atoms and distances in Å follow each position.
Sites, in units of the cell vectors:
Pr 0.0000 0.0000 0.0000  6 As 2.99-3.00
Ce 0.5000 0.5000 0.5000  6 As 2.92-2.99
Ce 0.1645 0.8355 0.5000  6 As 2.93-2.99
Ce 0.8355 0.1645 0.5000  6 As 2.93-2.99
As 0.7397 0.7397 0.2456  2 Tm 2.92, 3 Ce 2.92-2.98, 1 Pr 2.99
As 0.9171 0.5754 0.7520  2 Tm 2.92, 3 Ce 2.93-2.99, 1 Pr 3.00
As 0.2603 0.2603 0.7544  2 Tm 2.92, 3 Ce 2.92-2.98, 1 Pr 2.99
As 0.5754 0.9171 0.7520  2 Tm 2.92, 3 Ce 2.93-2.99, 1 Pr 3.00
As 0.4246 0.0829 0.2480  2 Tm 2.92, 3 Ce 2.93-2.99, 1 Pr 3.00
As 0.0829 0.4246 0.2480  2 Tm 2.92, 3 Ce 2.93-2.99, 1 Pr 3.00
Tm 0.6674 0.3326 0.0000  6 As 2.92
Tm 0.3326 0.6674 0.0000  6 As 2.92

**Density of states at the Fermi level**: 1.41 states/eV/atom
**Crystal system**: monoclinic
**DFT formation energy**: -1455 meV per atom
**Space-group type**: C2/m
**E_tot**: -6.4069 eV/atom

No. 9
## PaTlBr4 (PBE)

Data for an optimized crystal structure of PaTlBr4.

a = 3.9616 Å, b = 7.4400 Å, c = 8.5668 Å
α = 103.38°, β = 89.99°, γ = 105.64°
Closest atoms and distances in Å follow each position.
Sites, in units of the cell vectors:
Br 0.3760 0.7552 0.1092  2 Pa 2.94
Br 0.6240 0.2448 0.8908  2 Pa 2.94
Br 0.1268 0.2505 0.3129  1 Pa 2.85
Br 0.8731 0.7495 0.6871  1 Pa 2.85
Pa 0.0000 0.0000 0.0000  6 Br 2.85-2.94
Tl 0.5000 0.0000 0.5000  6 Br 3.33-3.39

**Density of states at the Fermi level**: 0.16 states/eV/atom
**Crystal system**: triclinic
**Formation energy without anion corrections**: -6.9 eV/f.u.
**Space-group type**: P-1
**E_tot**: -4.2427 eV/atom

No. 10
## Mg2CuPtBr (PBE)

Data for an optimized crystal structure of Mg2CuPtBr.

a = 4.9621 Å, b = 4.8745 Å, c = 4.9621 Å
α = 90.00°, β = 90.00°, γ = 90.00°
Closest atoms and distances in Å follow each position.
Sites, in units of the cell vectors:
Cu 0.5000 0.5000 0.5000  8 Mg 3.48, 4 Pt 3.51
Pt 0.0000 0.5000 0.0000  2 Br 2.44
Br 0.0000 0.0000 0.0000  2 Pt 2.44, 4 Mg 2.48
Mg 0.5000 0.0000 0.0000  2 Br 2.48
Mg 0.0000 0.0000 0.5000  2 Br 2.48

**Density of states at the Fermi level**: 0.33 states/eV/atom
**Crystal system**: tetragonal
**Formation energy without anion corrections**: 3.4 eV/f.u.
**Space-group type**: P4/mmm
**E_tot**: -2.3173 eV/atom

No. 11
## Pr3Y4Sc2 (PBE)

Data for an optimized crystal structure of Pr3Y4Sc2.

a = 6.7323 Å, b = 11.3723 Å, c = 11.3723 Å
α = 52.75°, β = 60.41°, γ = 60.41°
Closest atoms and distances in Å follow each position.
Sites, in units of the cell vectors:
Sc 0.4754 0.1179 0.5436  1 Sc 3.21, 6 Y 3.42-3.56, 3 Pr 3.48-3.58
Sc 0.0246 0.4564 0.8821  1 Sc 3.21, 6 Y 3.42-3.56, 3 Pr 3.48-3.58
Sc 0.5246 0.8821 0.4564  1 Sc 3.21, 6 Y 3.42-3.56, 3 Pr 3.48-3.58
Sc 0.9754 0.5436 0.1179  1 Sc 3.21, 6 Y 3.42-3.56, 3 Pr 3.48-3.58
Y 0.5062 0.5601 0.8128  4 Sc 3.42-3.56, 4 Pr 3.43-3.62, 2 Y 3.57-3.70
Y 0.9824 0.2021 0.8269  3 Y 3.31-3.70, 5 Pr 3.42-3.62, 2 Sc 3.47-3.51
Y 0.4938 0.4399 0.1872  4 Sc 3.42-3.56, 4 Pr 3.43-3.62, 2 Y 3.57-3.70
Y 0.9938 0.1872 0.4399  4 Sc 3.42-3.56, 4 Pr 3.43-3.62, 2 Y 3.57-3.70
Y 0.0176 0.7979 0.1731  3 Y 3.31-3.70, 5 Pr 3.42-3.62, 2 Sc 3.47-3.51
Y 0.4824 0.8269 0.2021  3 Y 3.31-3.70, 5 Pr 3.42-3.62, 2 Sc 3.47-3.51
Y 0.0062 0.8128 0.5601  4 Sc 3.42-3.56, 4 Pr 3.43-3.62, 2 Y 3.57-3.70
Y 0.5176 0.1731 0.7979  3 Y 3.31-3.70, 5 Pr 3.42-3.62, 2 Sc 3.47-3.51
Pr 0.9240 0.1034 0.2040  6 Y 3.42-3.62, 3 Sc 3.48-3.58, 2 Pr 3.52
Pr 0.4240 0.2040 0.1034  6 Y 3.42-3.62, 3 Sc 3.48-3.58, 2 Pr 3.52
Pr 0.2500 0.4980 0.5020  2 Pr 3.37, 6 Y 3.45-3.62, 2 Sc 3.60
Pr 0.5760 0.7960 0.8966  6 Y 3.42-3.62, 3 Sc 3.48-3.58, 2 Pr 3.52
Pr 0.7500 0.5020 0.4980  2 Pr 3.37, 6 Y 3.45-3.62, 2 Sc 3.60
Pr 0.0760 0.8966 0.7960  6 Y 3.42-3.62, 3 Sc 3.48-3.58, 2 Pr 3.52

**Density of states at the Fermi level**: 1.64 states/eV/atom
**Crystal system**: monoclinic
**DFT formation energy**: 119 meV per atom
**Space-group type**: C2/c
**ΔE to the lowest computed polymorph**: 75 meV per atom
**E_tot**: -5.7539 eV/atom